Crystalline SrCrIr2 at its relaxed geometry. Source: Alexandria via LeMat-Bulk, functional PBEsol.

The structure in POSCAR format:
```
SrCrIr2
1.0
0.000 3.247 3.247
3.247 0.000 3.247
3.247 3.247 0.000
Sr Cr Ir
1 1 2
Cartesian
0.000 0.000 0.000
3.247 3.247 3.247
1.624 1.624 1.624
4.871 4.871 4.871
```

Properties
ΔE_f: 0.646 eV per atom
D(E_F): 5.06 states/eV per cell
Final energy: -29.1 eV/f.u.
Spin magnetization: 2.83 μB per formula unit
Symmetry: Fm-3m
Excess energy over the best structure of this formula in the dataset: 52.4 kJ per mole of atoms



Crystalline Li2AsW at its relaxed geometry. Source: Alexandria via LeMat-Bulk, functional PBEsol.

The structure in POSCAR format:
```
Li2AsW
1.0
2.726 0.000 0.000
0.000 4.206 0.000
0.000 0.000 5.065
Li As W
2 1 1
Cartesian
0.000 0.000 1.267
0.000 0.000 3.798
1.363 2.103 0.000
1.363 2.103 2.533
```

Properties
ΔE_f: 0.193 eV per atom
D(E_F): 1.89 states/eV per cell
Final energy: -22.1 eV/f.u.
Spin magnetization: 0.00 μB per formula unit
Symmetry: Pmmm